First-principles (GGA-PBE) data for crystalline AcIn2RhO8 at its relaxed geometry, as listed in Alexandria.

ΔE_f (raw) = -1.331 eV/atom

```
data_AcIn2RhO8
_cell_length_a 4.919
_cell_length_b 6.962
_cell_length_c 4.984
_cell_angle_alpha 90.00
_cell_angle_beta 90.18
_cell_angle_gamma 90.00
_space_group_name_H-M_alt 'P 1 2/m 1'
_space_group_IT_number 10
loop_
_space_group_symop_operation_xyz
'x,y,z'
'-x,-y,-z'
'-x,y,-z'
'x,-y,z'
loop_
_atom_site_label
_atom_site_fract_x
_atom_site_fract_y
_atom_site_fract_z
Ac1 0.000 0.000 0.000
In1 0.500 0.267 0.500
Rh1 0.000 0.500 0.000
O1 0.200 0.297 0.180
O2 0.276 0.500 0.705
O3 0.323 0.000 0.661
```